Compound: K2InMo
Source: Alexandria
Functional: GGA-PBE
Structure: relaxed

Cell lengths 4.866, 6.096, 9.971 Å; angles 90.00, 90.00, 90.00 degrees
Space group Imm2 (No. 44)
Symmetry-distinct sites (fractional):
1 K 0.000 0.000 0.000 x2
2 K 0.000 0.500 0.198 x2
3 In 0.000 0.000 0.418 x2
4 Mo 0.000 0.500 0.790 x2

Properties
formation energy: 890 meV per atom
magnetization: 6.20 μB per cell
D(E_F): 4.98 states/eV/cell